[1]
DFT (PBE with a Hubbard U) results for a geometry-optimized Na2VInO4 structure.

## Properties
**Space-group type**: P2/m
**Calculated total energy**: -5.860 eV/atom
**M_tot**: 2.0 μB/f.u.

a = 5.5647 Å, b = 3.1608 Å, c = 5.7921 Å
α = 90.00°, β = 108.95°, γ = 90.00°
With the nearest neighbours (Å) after each atom.
Positions (direct):
Na (0.0000, 0.0000, 0.0000)  6 O 2.39-2.41
Na (0.5000, 0.5000, 0.0000)  6 O 2.48-2.49
V (0.0000, 0.5000, 0.5000)  6 O 2.10-2.13
In (0.5000, 0.0000, 0.5000)  6 O 2.20-2.24
O (0.2183, 0.0000, 0.7023)  2 V 2.10, 1 In 2.24
O (0.2506, 0.5000, 0.2885)  1 V 2.13, 2 In 2.20
O (0.7494, 0.5000, 0.7115)  1 V 2.13, 2 In 2.20
O (0.7817, 0.0000, 0.2977)  2 V 2.10, 1 In 2.24

---

[2]
DFT (PBE with a Hubbard U) results for a geometry-optimized Na3VIn3O8 structure.

## Properties
**Space-group type**: C2/m
**Calculated total energy**: -5.642 eV/atom
**M_tot**: 1.0 μB/f.u.

a = 6.4270 Å, b = 6.4270 Å, c = 6.7100 Å
α = 118.87°, β = 118.87°, γ = 60.46°
With the nearest neighbours (Å) after each atom.
Positions (direct):
Na (0.0000, 0.0000, 0.0000)  6 O 2.42-2.47
Na (0.0000, 0.5000, 0.0000)  6 O 2.44-2.49
Na (0.5000, 0.0000, 0.0000)  6 O 2.44-2.49
V (0.0000, 0.0000, 0.5000)  6 O 1.94-2.04
In (0.0000, 0.5000, 0.5000)  6 O 2.19-2.28
In (0.5000, 0.0000, 0.5000)  6 O 2.19-2.28
In (0.5000, 0.5000, 0.5000)  6 O 2.21-2.23
O (0.2102, 0.2102, 0.6961)  1 V 1.94
O (0.2200, 0.7586, 0.6971)  1 V 2.04, 2 In 2.21-2.23
O (0.2414, 0.7800, 0.3029)  1 V 2.04, 2 In 2.21-2.23
O (0.2600, 0.2600, 0.2905)  3 In 2.19-2.21, 1 Na 2.42
O (0.7400, 0.7400, 0.7095)  3 In 2.19-2.21, 1 Na 2.42
O (0.7586, 0.2200, 0.6971)  1 V 2.04, 2 In 2.21-2.23
O (0.7800, 0.2414, 0.3029)  1 V 2.04, 2 In 2.21-2.23
O (0.7898, 0.7898, 0.3039)  1 V 1.94

---

[3]
DFT (PBE with a Hubbard U) results for a geometry-optimized Na2VIn2O6 structure.

## Properties
**Space-group type**: C2/m
**Calculated total energy**: -5.801 eV/atom
**M_tot**: 1.0 μB/f.u.

a = 5.4758 Å, b = 5.4758 Å, c = 5.8883 Å
α = 98.99°, β = 98.99°, γ = 118.87°
With the nearest neighbours (Å) after each atom.
Positions (direct):
Na (0.1648, 0.8352, 0.0000)  6 O 2.43-2.62
Na (0.8352, 0.1648, 0.0000)  6 O 2.43-2.62
V (0.0000, 0.0000, 0.5000)  6 O 2.00-2.01
In (0.3354, 0.6646, 0.5000)  6 O 2.20-2.24
In (0.6646, 0.3354, 0.5000)  6 O 2.20-2.24
O (0.0605, 0.3681, 0.6976)  1 V 2.01, 2 In 2.20-2.24
O (0.2378, 0.2378, 0.3052)  1 V 2.00, 2 In 2.20
O (0.3681, 0.0605, 0.6976)  1 V 2.01, 2 In 2.20-2.24
O (0.6319, 0.9395, 0.3024)  1 V 2.01, 2 In 2.20-2.24
O (0.7622, 0.7622, 0.6948)  1 V 2.00, 2 In 2.20
O (0.9395, 0.6319, 0.3024)  1 V 2.01, 2 In 2.20-2.24

---

[4]
DFT (PBE with a Hubbard U) results for a geometry-optimized NaInW2O structure.

## Properties
**Space-group type**: P4/mmm
**Calculated total energy**: -3.347 eV/atom
**M_tot**: 10.1 μB/f.u.

a = 5.8312 Å, b = 5.8312 Å, c = 4.1682 Å
α = 90.00°, β = 90.00°, γ = 90.00°
With the nearest neighbours (Å) after each atom.
Positions (direct):
Na (0.0000, 0.0000, 0.0000)  8 W 3.58
In (0.5000, 0.5000, 0.5000)  2 O 2.08
W (0.0000, 0.5000, 0.5000)  2 In 2.92
W (0.5000, 0.0000, 0.5000)  2 In 2.92
O (0.5000, 0.5000, 0.0000)  2 In 2.08

---

[5]
DFT (PBE with a Hubbard U) results for a geometry-optimized Na2InWO6 structure.

## Properties
**Space-group type**: P2_1/c
**Calculated total energy**: -5.917 eV/atom
**M_tot**: 1.1 μB/f.u.

a = 5.6135 Å, b = 5.7175 Å, c = 9.7683 Å
α = 90.00°, β = 125.08°, γ = 90.00°
With the nearest neighbours (Å) after each atom.
Positions (direct):
Na (0.2425, 0.0314, 0.2504)  4 O 2.40-2.61
Na (0.2425, 0.4686, 0.7504)  4 O 2.40-2.61
Na (0.7575, 0.5314, 0.2496)  4 O 2.40-2.61
Na (0.7575, 0.9686, 0.7496)  4 O 2.40-2.61
In (0.5000, 0.0000, 0.0000)  6 O 2.17-2.18
In (0.5000, 0.5000, 0.5000)  6 O 2.17-2.18
W (0.0000, 0.0000, 0.5000)  6 O 1.94-1.95
W (0.0000, 0.5000, 0.0000)  6 O 1.94-1.95
O (0.1476, 0.2245, 0.9543)  1 W 1.95, 1 In 2.18
O (0.1476, 0.2755, 0.4543)  1 W 1.95, 1 In 2.18
O (0.2349, 0.6968, 0.9591)  1 W 1.94, 1 In 2.17
O (0.2349, 0.8032, 0.4591)  1 W 1.94, 1 In 2.17
O (0.3194, 0.0222, 0.7354)  1 W 1.94, 1 In 2.17
O (0.3194, 0.4778, 0.2354)  1 W 1.94, 1 In 2.17
O (0.6806, 0.5222, 0.7646)  1 W 1.94, 1 In 2.17
O (0.6806, 0.9778, 0.2646)  1 W 1.94, 1 In 2.17
O (0.7651, 0.1968, 0.5409)  1 W 1.94, 1 In 2.17
O (0.7651, 0.3032, 0.0409)  1 W 1.94, 1 In 2.17
O (0.8524, 0.7245, 0.5457)  1 W 1.95, 1 In 2.18
O (0.8524, 0.7755, 0.0457)  1 W 1.95, 1 In 2.18

---

[6]
DFT (PBE with a Hubbard U) results for a geometry-optimized NaInW2O6 structure.

## Properties
**Space-group type**: Fm-3m
**Calculated total energy**: -6.506 eV/atom
**M_tot**: 2.0 μB/f.u.

a = 5.6833 Å, b = 5.6833 Å, c = 5.6833 Å
α = 60.00°, β = 60.00°, γ = 60.00°
With the nearest neighbours (Å) after each atom.
Positions (direct):
Na (0.0000, 0.0000, 0.0000)  12 O 2.84
In (0.5000, 0.5000, 0.5000)  12 O 2.84
W (0.2500, 0.2500, 0.2500)  6 O 2.01
W (0.7500, 0.7500, 0.7500)  6 O 2.01
O (0.0000, 0.0000, 0.5000)  2 W 2.01
O (0.0000, 0.5000, 0.0000)  2 W 2.01
O (0.0000, 0.5000, 0.5000)  2 W 2.01
O (0.5000, 0.0000, 0.0000)  2 W 2.01
O (0.5000, 0.0000, 0.5000)  2 W 2.01
O (0.5000, 0.5000, 0.0000)  2 W 2.01

---

Among the records above, which one has the highest calculated total energy? NaInW2O